# 1
The following is a PBE calculation of YBSb2I after structural relaxation, from Alexandria.

a = 5.8694 Å, b = 5.8694 Å, c = 5.9176 Å
α = 90.00°, β = 90.00°, γ = 90.00°
Closest atoms and distances in Å follow each position.
Fractional positions:
1 Y 0.0000 0.0000 0.0000  4 Sb 2.93, 2 I 2.96
2 B 0.5000 0.5000 0.5000  4 I 4.15, 8 Sb 4.17
3 Sb 0.0000 0.5000 0.0000  2 Y 2.93
4 Sb 0.5000 0.0000 0.0000  2 Y 2.93
5 I 0.0000 0.0000 0.5000  2 Y 2.96

Results
Offset from the most stable computed form = 714 meV/atom
Total moment = 0.0 μB/cell
Raw total energy = -17.71 eV/f.u.
Space group = P4/mmm (123)



# 2
The following is a PBE calculation of YBSb2I after structural relaxation, from Alexandria.

a = 4.8444 Å, b = 4.8444 Å, c = 5.3931 Å
α = 90.00°, β = 90.00°, γ = 90.00°
Closest atoms and distances in Å follow each position.
Fractional positions:
1 Y 0.0000 0.0000 0.0000  4 I 3.43, 8 Sb 3.62
2 B 0.5000 0.5000 0.5000  4 Sb 2.42, 2 I 2.70
3 Sb 0.0000 0.5000 0.5000  2 B 2.42
4 Sb 0.5000 0.0000 0.5000  2 B 2.42
5 I 0.5000 0.5000 0.0000  2 B 2.70

Results
Offset from the most stable computed form = 0 meV/atom
Total moment = 0.0 μB/cell
Raw total energy = -21.28 eV/f.u.
Space group = P4/mmm (123)



# 3
The following is a PBE calculation of ZnB2SbI after structural relaxation, from Alexandria.

a = 4.5736 Å, b = 4.5736 Å, c = 5.8969 Å
α = 90.00°, β = 90.00°, γ = 90.00°
Closest atoms and distances in Å follow each position.
Fractional positions:
1 Zn 0.0000 0.0000 0.0000  4 Sb 3.23
2 B 0.0000 0.5000 0.5000  2 I 2.29
3 B 0.5000 0.0000 0.5000  2 I 2.29
4 Sb 0.5000 0.5000 0.0000  2 I 2.95, 4 Zn 3.23
5 I 0.5000 0.5000 0.5000  4 B 2.29

Results
Total moment = 0.0 μB/cell
Raw total energy = -9.70 eV/f.u.
Space group = P4/mmm (123)



# 4
The following is a PBE calculation of Zr2BSbI after structural relaxation, from Alexandria.

a = 5.2633 Å, b = 5.2633 Å, c = 5.7960 Å
α = 90.00°, β = 90.00°, γ = 90.00°
Closest atoms and distances in Å follow each position.
Fractional positions:
1 Zr 0.0000 0.5000 0.0000  2 I 2.63
2 Zr 0.5000 0.0000 0.0000  2 I 2.63
3 B 0.0000 0.0000 0.5000  4 Sb 3.72, 8 Zr 3.91
4 Sb 0.5000 0.5000 0.5000  2 I 2.90
5 I 0.5000 0.5000 0.0000  4 Zr 2.63, 2 Sb 2.90

Results
Total moment = 0.0 μB/cell
Raw total energy = -19.62 eV/f.u.
Space group = P4/mmm (123)



# 5
The following is a PBE calculation of ScBI3 after structural relaxation, from Alexandria.

a = 5.7393 Å, b = 5.7393 Å, c = 5.7393 Å
α = 90.00°, β = 90.00°, γ = 90.00°
Closest atoms and distances in Å follow each position.
Fractional positions:
1 Sc 0.0000 0.0000 0.0000  6 I 2.87
2 B 0.5000 0.5000 0.5000  12 I 4.06
3 I 0.0000 0.0000 0.5000  2 Sc 2.87
4 I 0.0000 0.5000 0.0000  2 Sc 2.87
5 I 0.5000 0.0000 0.0000  2 Sc 2.87

Results
Offset from the most stable computed form = 0 meV/atom
Total moment = 1.0 μB/cell
Raw total energy = -15.94 eV/f.u.
Space group = Pm-3m (221)



# 6
The following is a PBE calculation of Sc3BI3 after structural relaxation, from Alexandria.

a = 9.7378 Å, b = 9.7378 Å, c = 9.7378 Å
α = 109.47°, β = 109.47°, γ = 109.47°
Closest atoms and distances in Å follow each position.
Fractional positions:
1 Sc 0.0313 0.0626 0.2813  2 B 2.48
2 Sc 0.0313 0.4687 0.7500  2 B 2.48
3 Sc 0.0626 0.2813 0.0313  2 B 2.48
4 Sc 0.2187 0.2813 0.7500  2 B 2.48
5 Sc 0.2187 0.4374 0.4687  2 B 2.48
6 Sc 0.2813 0.0313 0.0626  2 B 2.48
7 Sc 0.2813 0.7500 0.2187  2 B 2.48
8 Sc 0.4374 0.4687 0.2187  2 B 2.48
9 Sc 0.4687 0.2187 0.4374  2 B 2.48
10 Sc 0.4687 0.7500 0.0313  2 B 2.48
11 Sc 0.7500 0.0313 0.4687  2 B 2.48
12 Sc 0.7500 0.2187 0.2813  2 B 2.48
13 B 0.0000 0.2500 0.5000  6 Sc 2.48
14 B 0.2500 0.2500 0.2500  6 Sc 2.48
15 B 0.2500 0.5000 0.0000  6 Sc 2.48
16 B 0.5000 0.0000 0.2500  6 Sc 2.48
17 I 0.2500 0.7552 0.7448  4 Sc 2.92-3.19
18 I 0.2500 0.9948 0.5052  4 Sc 2.92-3.19
19 I 0.5052 0.2500 0.9948  4 Sc 2.92-3.19
20 I 0.5052 0.7552 0.5103  4 Sc 2.92-3.19
21 I 0.5103 0.5052 0.7552  4 Sc 2.92-3.19
22 I 0.7448 0.2500 0.7552  4 Sc 2.92-3.19
23 I 0.7448 0.9948 0.9897  4 Sc 2.92-3.19
24 I 0.7552 0.5103 0.5052  4 Sc 2.92-3.19
25 I 0.7552 0.7448 0.2500  4 Sc 2.92-3.19
26 I 0.9897 0.7448 0.9948  4 Sc 2.92-3.19
27 I 0.9948 0.5052 0.2500  4 Sc 2.92-3.19
28 I 0.9948 0.9897 0.7448  4 Sc 2.92-3.19

Results
Total moment = 0.0 μB/cell
Raw total energy = -36.38 eV/f.u.
Space group = I4_132 (214)



# 7
The following is a PBE calculation of ScBI2 after structural relaxation, from Alexandria.

a = 5.1483 Å, b = 5.1483 Å, c = 5.1483 Å
α = 60.00°, β = 60.00°, γ = 60.00°
Closest atoms and distances in Å follow each position.
Fractional positions:
1 Sc 0.0000 0.0000 0.0000  8 I 3.15
2 B 0.5000 0.5000 0.5000  8 I 3.15
3 I 0.2500 0.2500 0.2500  4 B 3.15, 4 Sc 3.15
4 I 0.7500 0.7500 0.7500  4 Sc 3.15, 4 B 3.15

Results
Offset from the most stable computed form = 0 meV/atom
Total moment = 1.4 μB/cell
Raw total energy = -13.63 eV/f.u.
Space group = Fm-3m (225)



# 8
The following is a PBE calculation of Sc2B2I after structural relaxation, from Alexandria.

a = 5.2606 Å, b = 5.2606 Å, c = 5.2606 Å
α = 127.14°, β = 127.14°, γ = 78.02°
Closest atoms and distances in Å follow each position.
Fractional positions:
1 Sc 0.2500 0.7500 0.5000  4 B 2.66
2 Sc 0.7500 0.2500 0.5000  4 B 2.66
3 B 0.0963 0.0963 0.0000  1 B 1.57
4 B 0.9037 0.9037 0.0000  1 B 1.57
5 I 0.5000 0.5000 0.0000  8 Sc 3.11, 10 B 3.30-3.40

Results
Offset from the most stable computed form = 180 meV/atom
Total moment = 0.0 μB/cell
Raw total energy = -26.74 eV/f.u.
Space group = I4/mmm (139)



# 9
The following is a PBE calculation of ScBI after structural relaxation, from Alexandria.

a = 11.2756 Å, b = 11.2756 Å, c = 3.3835 Å
α = 90.00°, β = 90.00°, γ = 160.76°
Closest atoms and distances in Å follow each position.
Fractional positions:
1 Sc 0.0609 0.9391 0.7500  2 B 2.46
2 Sc 0.9391 0.0609 0.2500  2 B 2.46
3 B 0.4901 0.5099 0.7500  2 B 1.75
4 B 0.5099 0.4901 0.2500  2 B 1.75
5 I 0.1623 0.8377 0.2500  2 Sc 2.82
6 I 0.8377 0.1623 0.7500  2 Sc 2.82

Results
Total moment = 0.0 μB/cell
Raw total energy = -16.43 eV/f.u.
Space group = Cmcm (63)



# 10
The following is a PBE calculation of Sc3BI after structural relaxation, from Alexandria.

a = 4.7253 Å, b = 4.7253 Å, c = 4.7253 Å
α = 90.00°, β = 90.00°, γ = 90.00°
Closest atoms and distances in Å follow each position.
Fractional positions:
1 Sc 0.0000 0.0000 0.5000  2 B 2.36
2 Sc 0.0000 0.5000 0.0000  2 B 2.36
3 Sc 0.5000 0.0000 0.0000  2 B 2.36
4 B 0.0000 0.0000 0.0000  6 Sc 2.36
5 I 0.5000 0.5000 0.5000  12 Sc 3.34

Results
Offset from the most stable computed form = 0 meV/atom
Total moment = 0.0 μB/cell
Raw total energy = -28.26 eV/f.u.
Space group = Pm-3m (221)



# 11
The following is a PBE calculation of ScBI3 after structural relaxation, from Alexandria.

a = 5.1460 Å, b = 5.1460 Å, c = 5.1460 Å
α = 90.00°, β = 90.00°, γ = 90.00°
Closest atoms and distances in Å follow each position.
Fractional positions:
1 Sc 0.0000 0.0000 0.0000  12 I 3.64
2 B 0.5000 0.5000 0.5000  6 I 2.57
3 I 0.0000 0.5000 0.5000  2 B 2.57
4 I 0.5000 0.0000 0.5000  2 B 2.57
5 I 0.5000 0.5000 0.0000  2 B 2.57

Results
Offset from the most stable computed form = 148 meV/atom
Total moment = 1.0 μB/cell
Raw total energy = -15.19 eV/f.u.
Space group = Pm-3m (221)



# 12
The following is a PBE calculation of Sc2B2I after structural relaxation, from Alexandria.

a = 6.9395 Å, b = 6.9395 Å, c = 3.5081 Å
α = 90.00°, β = 90.00°, γ = 90.00°
Closest atoms and distances in Å follow each position.
Fractional positions:
1 Sc 0.1657 0.3343 0.0000  4 B 2.52
2 Sc 0.3343 0.8343 0.0000  4 B 2.52
3 Sc 0.6657 0.1657 0.0000  4 B 2.52
4 Sc 0.8343 0.6657 0.0000  4 B 2.52
5 B 0.0816 0.5816 0.5000  1 B 1.60
6 B 0.4184 0.0816 0.5000  1 B 1.60
7 B 0.5816 0.9184 0.5000  1 B 1.60
8 B 0.9184 0.4184 0.5000  1 B 1.60
9 I 0.0000 0.0000 0.5000  4 B 2.96, 8 Sc 3.13
10 I 0.5000 0.5000 0.5000  4 B 2.96, 8 Sc 3.13

Results
Offset from the most stable computed form = 0 meV/atom
Total moment = 0.0 μB/cell
Raw total energy = -27.64 eV/f.u.
Space group = P4/mbm (127)